(1)
Te2OsPd | PBE | relaxed

Values from the calculation:
Crystal system = trigonal
Density of states at the Fermi level = 14.3 states/eV per cell
Space-group type = R-3m
Calculated volume = 25.65 Å³/atom
Energy above the most stable polymorph in this dataset = 49 meV/atom
Mass density = 8.93 g cm⁻³

Lattice parameters (Å, degrees): 3.821 3.821 24.334 90.00 90.00 120.00
Element x y z (fractional)
Te1 0.000 0.000 0.106
Te2 0.000 0.000 0.894
Te3 0.333 0.667 0.561
Te4 0.333 0.667 0.772
Te5 0.667 0.333 0.228
Te6 0.667 0.333 0.439
Os1 0.000 0.000 0.500
Os2 0.333 0.667 0.167
Os3 0.667 0.333 0.833
Pd1 0.000 0.000 0.000
Pd2 0.333 0.667 0.667
Pd3 0.667 0.333 0.333

---

(2)
Te2OsPd | PBE | relaxed

Values from the calculation:
Crystal system = trigonal
Density of states at the Fermi level = 11.6 states/eV per cell
Space-group type = R-3m
Calculated volume = 20.86 Å³/atom
Energy above the most stable polymorph in this dataset = 450 meV/atom
Mass density = 10.98 g cm⁻³

Lattice parameters (Å, degrees): 3.191 3.191 28.386 90.00 90.00 120.00
Element x y z (fractional)
Te1 0.000 0.000 0.090
Te2 0.000 0.000 0.910
Te3 0.333 0.667 0.577
Te4 0.333 0.667 0.756
Te5 0.667 0.333 0.244
Te6 0.667 0.333 0.423
Os1 0.000 0.000 0.000
Os2 0.333 0.667 0.667
Os3 0.667 0.333 0.333
Pd1 0.000 0.000 0.500
Pd2 0.333 0.667 0.167
Pd3 0.667 0.333 0.833

---

(3)
TeOsPd3 | PBE | relaxed

Values from the calculation:
Crystal system = cubic
Density of states at the Fermi level = 6.9 states/eV per cell
Space-group type = Pm-3m
Calculated volume = 22.64 Å³/atom
Energy above the most stable polymorph in this dataset = 0 meV/atom
Mass density = 9.34 g cm⁻³

Lattice parameters (Å, degrees): 4.838 4.838 4.838 90.00 90.00 90.00
Element x y z (fractional)
Te1 0.000 0.000 0.000
Os1 0.500 0.500 0.500
Pd1 0.000 0.500 0.500
Pd2 0.500 0.000 0.500
Pd3 0.500 0.500 0.000